(1)
Density functional theory data (PBE) for a geometry-optimized Li3NdZn3 structure.

```
Li3NdZn3
1.0
6.6221 0.0000 0.0000
0.0000 6.6221 0.0000
0.0000 0.0000 6.6221
Li Nd Zn
6 2 6
direct
0.0000 0.2500 0.5000 Li
0.0000 0.7500 0.5000 Li
0.2500 0.5000 0.0000 Li
0.5000 0.0000 0.2500 Li
0.5000 0.0000 0.7500 Li
0.7500 0.5000 0.0000 Li
0.0000 0.0000 0.0000 Nd
0.5000 0.5000 0.5000 Nd
0.0000 0.5000 0.2500 Zn
0.0000 0.5000 0.7500 Zn
0.2500 0.0000 0.5000 Zn
0.5000 0.2500 0.0000 Zn
0.5000 0.7500 0.0000 Zn
0.7500 0.0000 0.5000 Zn
```

## Properties
* V: 20.742 A^3/atom
* energy of formation from the pure elements: 0.18 eV/atom
* total energy: -1.8677 eV/atom
* DOS at the Fermi energy: 4.966 states/eV/f.u.
* offset from the most stable computed form: 350 meV/atom

(2)
Density functional theory data (PBE) for a geometry-optimized LiNdZn10 structure.

```
LiNdZn10
1.0
4.3494 0.0000 0.0000
0.0000 5.1048 0.0000
0.0000 0.0000 9.2984
Li Nd Zn
1 1 10
direct
0.0000 0.0000 0.0000 Li
0.0000 0.5000 0.5000 Nd
0.0000 0.0000 0.3009 Zn
0.0000 0.0000 0.6991 Zn
0.0000 0.5000 0.1508 Zn
0.0000 0.5000 0.8492 Zn
0.5000 0.0000 0.5000 Zn
0.5000 0.2562 0.2574 Zn
0.5000 0.2562 0.7426 Zn
0.5000 0.5000 0.0000 Zn
0.5000 0.7438 0.2574 Zn
0.5000 0.7438 0.7426 Zn
```

## Properties
* V: 17.204 A^3/atom
* energy of formation from the pure elements: -0.18 eV/atom
* total energy: -1.8004 eV/atom
* DOS at the Fermi energy: 4.298 states/eV/f.u.

(3)
Density functional theory data (PBE) for a geometry-optimized LiNd2Zn16 structure.

```
LiNd2Zn16
1.0
4.5311 2.6161 4.4208
-4.5311 2.6161 4.4208
0.0000 -5.2321 4.4208
Li Nd Zn
1 2 16
direct
0.0000 0.0000 0.0000 Li
0.2426 0.2426 0.2426 Nd
0.5684 0.5684 0.5684 Nd
0.0694 0.5540 0.5540 Zn
0.1984 0.6152 0.9067 Zn
0.1984 0.9067 0.6152 Zn
0.2567 0.2567 0.7494 Zn
0.2567 0.7494 0.2567 Zn
0.4036 0.9079 0.9079 Zn
0.5540 0.0694 0.5540 Zn
0.5540 0.5540 0.0694 Zn
0.6152 0.1984 0.9067 Zn
0.6152 0.9067 0.1984 Zn
0.7494 0.2567 0.2567 Zn
0.8024 0.8024 0.8024 Zn
0.9067 0.1984 0.6152 Zn
0.9067 0.6152 0.1984 Zn
0.9079 0.4036 0.9079 Zn
0.9079 0.9079 0.4036 Zn
```

## Properties
* V: 16.548 A^3/atom
* energy of formation from the pure elements: -0.27 eV/atom
* total energy: -1.9414 eV/atom
* DOS at the Fermi energy: 5.872 states/eV/f.u.

(4)
Density functional theory data (PBE) for a geometry-optimized LiNdZn structure.

```
LiNdZn
1.0
-1.8709 1.8709 4.8624
1.8709 -1.8709 4.8624
1.8709 1.8709 -4.8624
Li Nd Zn
1 1 1
direct
0.0000 0.0000 0.0000 Li
0.6945 0.6945 0.0000 Nd
0.3668 0.3668 0.0000 Zn
```

## Properties
* V: 22.693 A^3/atom
* energy of formation from the pure elements: -0.09 eV/atom
* total energy: -2.7438 eV/atom
* DOS at the Fermi energy: 1.008 states/eV/f.u.
* offset from the most stable computed form: 51 meV/atom

(5)
Density functional theory data (PBE) for a geometry-optimized LiNdZn structure.

```
LiNdZn
1.0
3.4312 0.0000 0.0000
0.0000 3.4312 0.0000
0.0000 0.0000 11.5591
Li Nd Zn
2 2 2
direct
0.2500 0.2500 0.0742 Li
0.7500 0.7500 0.9258 Li
0.2500 0.2500 0.3744 Nd
0.7500 0.7500 0.6256 Nd
0.2500 0.2500 0.8059 Zn
0.7500 0.7500 0.1941 Zn
```

## Properties
* V: 22.682 A^3/atom
* energy of formation from the pure elements: -0.09 eV/atom
* total energy: -2.7462 eV/atom
* DOS at the Fermi energy: 3.063 states/eV/f.u.
* offset from the most stable computed form: 48 meV/atom

(6)
Density functional theory data (PBE) for a geometry-optimized Li2Nd3Zn7 structure.

```
Li2Nd3Zn7
1.0
2.7613 1.5942 8.8655
-2.7613 1.5942 8.8655
0.0000 -3.1884 8.8655
Li Nd Zn
2 3 7
direct
0.1671 0.1671 0.1671 Li
0.8329 0.8329 0.8329 Li
0.3624 0.3624 0.3624 Nd
0.5000 0.5000 0.5000 Nd
0.6376 0.6376 0.6376 Nd
0.0000 0.0000 0.0000 Zn
0.0813 0.0813 0.5799 Zn
0.0813 0.5799 0.0813 Zn
0.4201 0.9187 0.9187 Zn
0.5799 0.0813 0.0813 Zn
0.9187 0.4201 0.9187 Zn
0.9187 0.9187 0.4201 Zn
```

## Properties
* V: 19.513 A^3/atom
* energy of formation from the pure elements: -0.27 eV/atom
* total energy: -2.5206 eV/atom
* DOS at the Fermi energy: 7.430 states/eV/f.u.

(7)
Density functional theory data (PBE) for a geometry-optimized LiNd2Zn6 structure.

```
LiNd2Zn6
1.0
7.9334 0.0000 0.0000
-3.9667 6.8705 0.0000
0.0000 0.0000 3.3556
Li Nd Zn
1 2 6
direct
0.0000 0.0000 0.0000 Li
0.3333 0.6667 0.0000 Nd
0.6667 0.3333 0.0000 Nd
0.0000 0.3196 0.5000 Zn
0.0000 0.6804 0.5000 Zn
0.3196 0.0000 0.5000 Zn
0.3196 0.3196 0.5000 Zn
0.6804 0.0000 0.5000 Zn
0.6804 0.6804 0.5000 Zn
```

## Properties
* V: 20.322 A^3/atom
* energy of formation from the pure elements: -0.24 eV/atom
* total energy: -2.3588 eV/atom
* DOS at the Fermi energy: 5.022 states/eV/f.u.

(8)
Density functional theory data (PBE) for a geometry-optimized Li4NdZn2 structure.

```
Li4NdZn2
1.0
2.0027 -8.7654 0.0000
2.0027 8.7654 0.0000
0.0000 0.0000 4.0745
Li Nd Zn
4 1 2
direct
0.1797 0.8203 0.0000 Li
0.3167 0.6833 0.5000 Li
0.6833 0.3167 0.5000 Li
0.8203 0.1797 0.0000 Li
0.5000 0.5000 0.0000 Nd
0.0782 0.9218 0.5000 Zn
0.9218 0.0782 0.5000 Zn
```

## Properties
* V: 20.436 A^3/atom
* energy of formation from the pure elements: -0.11 eV/atom
* total energy: -2.2514 eV/atom
* DOS at the Fermi energy: 5.511 states/eV/f.u.